The following is a GGA+U calculation of a geometry-optimized LaMgFeO2 structure, from the Alexandria database.

Summary:
As for the space-group type: P4/mmm (123). Its density of states at the Fermi level is 0.6 states/eV/f.u. As for the uncorrected energy: -26.62 eV/f.u. For the total moment, the calculation gives 0.6051 μB/atom.

a b c (Å): 4.182 4.515 4.182
angles (deg): 90.00 90.00 90.00
Atoms (fractional coordinates):
Mg: 0.000 0.000 0.000
Fe: 0.000 0.500 0.000
O: 0.000 0.000 0.500
O: 0.500 0.000 0.000
La: 0.500 0.500 0.500